## AgHgSe (PBE)

Data for crystalline AgHgSe at its relaxed geometry.

Unit cell a=7.582 b=7.583 c=7.399 alpha=112.79 beta=112.79 gamma=103.40
Sites, in units of the cell vectors:
Se: 0.405 0.658 0.249
Se: 0.158 0.905 0.749
Se: 0.595 0.342 0.751
Se: 0.842 0.095 0.251
Hg: 0.562 0.312 0.124
Hg: 0.812 0.062 0.624
Hg: 0.438 0.688 0.876
Hg: 0.188 0.938 0.376
Ag: 0.000 0.500 0.000
Ag: 0.500 0.500 0.500
Ag: 0.000 0.500 0.500
Ag: 0.000 0.000 0.000

Computed properties:
Energy   -2.19 eV/atom
SG   No. 15
Calculated volume   323.0 Å³ per cell
Distance to the lowest polymorph of the same formula   118 meV per atom
Density of states at the Fermi level   3.0 states/eV per cell
Uncorrected formation energy   0.02 eV per atom

=====

## AgHg3Se4 (PBE)

Data for crystalline AgHg3Se4 at its relaxed geometry.

Unit cell a=7.209 b=7.540 c=8.698 alpha=90.00 beta=90.00 gamma=90.00
Sites, in units of the cell vectors:
Hg: 0.500 0.333 0.250
Hg: 0.001 0.169 0.500
Hg: 0.000 0.667 0.250
Hg: 0.500 0.333 0.750
Hg: 0.501 0.831 0.000
Hg: 0.000 0.667 0.750
Se: 0.126 0.330 0.756
Se: 0.126 0.330 0.244
Se: 0.626 0.670 0.744
Se: 0.626 0.670 0.256
Se: 0.626 0.160 0.500
Se: 0.126 0.840 0.000
Se: 0.136 0.834 0.500
Se: 0.636 0.166 0.000
Ag: 0.000 0.166 0.000
Ag: 0.500 0.834 0.500

Computed properties:
Energy   -2.34 eV/atom
SG   No. 31
Calculated volume   472.7 Å³ per cell
Density of states at the Fermi level   9.1 states/eV per cell
Uncorrected formation energy   -0.12 eV per atom

=====

- Which value of energy does entry 2 give?
  -2.34 eV/atom

=====

- Which value of calculated volume does entry 1 give?
  323.0 Å³ per cell

=====

Copy entry 2 word for word.
## AgHg3Se4 (PBE)

Data for crystalline AgHg3Se4 at its relaxed geometry.

Unit cell a=7.209 b=7.540 c=8.698 alpha=90.00 beta=90.00 gamma=90.00
Sites, in units of the cell vectors:
Hg: 0.500 0.333 0.250
Hg: 0.001 0.169 0.500
Hg: 0.000 0.667 0.250
Hg: 0.500 0.333 0.750
Hg: 0.501 0.831 0.000
Hg: 0.000 0.667 0.750
Se: 0.126 0.330 0.756
Se: 0.126 0.330 0.244
Se: 0.626 0.670 0.744
Se: 0.626 0.670 0.256
Se: 0.626 0.160 0.500
Se: 0.126 0.840 0.000
Se: 0.136 0.834 0.500
Se: 0.636 0.166 0.000
Ag: 0.000 0.166 0.000
Ag: 0.500 0.834 0.500

Computed properties:
Energy   -2.34 eV/atom
SG   No. 31
Calculated volume   472.7 Å³ per cell
Density of states at the Fermi level   9.1 states/eV per cell
Uncorrected formation energy   -0.12 eV per atom

=====

Please write out number 1 again, unchanged.
## AgHgSe (PBE)

Data for crystalline AgHgSe at its relaxed geometry.

Unit cell a=7.582 b=7.583 c=7.399 alpha=112.79 beta=112.79 gamma=103.40
Sites, in units of the cell vectors:
Se: 0.405 0.658 0.249
Se: 0.158 0.905 0.749
Se: 0.595 0.342 0.751
Se: 0.842 0.095 0.251
Hg: 0.562 0.312 0.124
Hg: 0.812 0.062 0.624
Hg: 0.438 0.688 0.876
Hg: 0.188 0.938 0.376
Ag: 0.000 0.500 0.000
Ag: 0.500 0.500 0.500
Ag: 0.000 0.500 0.500
Ag: 0.000 0.000 0.000

Computed properties:
Energy   -2.19 eV/atom
SG   No. 15
Calculated volume   323.0 Å³ per cell
Distance to the lowest polymorph of the same formula   118 meV per atom
Density of states at the Fermi level   3.0 states/eV per cell
Uncorrected formation energy   0.02 eV per atom